No. 1
The following is a DFT calculation (PBE) of Be3FeB after structural relaxation.

For the volume, the calculation gives 58 Å³ per cell. As for the symmetry: Pm-3m. The value obtained for the raw total energy is -3.7292 eV per atom. The calculated formation energy is 35.39 kcal/mol of atoms. The calculation puts the total magnetic moment at 0.00 μB/f.u. As for the density of states at the Fermi level: 0.4935 states/eV per atom.

a b c (Å): 3.8694 3.8694 3.8694
angles (deg): 90.00 90.00 90.00
Atoms (fractional coordinates):
1 Be 0.0000 0.0000 0.5000
2 Be 0.0000 0.5000 0.0000
3 Be 0.5000 0.0000 0.0000
4 Fe 0.0000 0.0000 0.0000
5 B 0.5000 0.5000 0.5000

No. 2
The following is a DFT calculation (PBE) of V5P2C after structural relaxation.

For the volume, the calculation gives 189 Å³ per cell. As for the symmetry: Pbam. The value obtained for the raw total energy is -8.9443 eV per atom. The calculated formation energy is -17.06 kcal/mol of atoms. The calculation puts the total magnetic moment at 0.00 μB/f.u. As for the density of states at the Fermi level: 0.6586 states/eV per atom.

a b c (Å): 6.4989 9.2189 3.1490
angles (deg): 90.00 90.00 90.00
Atoms (fractional coordinates):
1 V 0.0000 0.0000 0.0000
2 V 0.1360 0.3067 0.0000
3 V 0.1893 0.5642 0.5000
4 V 0.3107 0.0642 0.5000
5 V 0.3640 0.8067 0.0000
6 V 0.5000 0.5000 0.0000
7 V 0.6360 0.1933 0.0000
8 V 0.6893 0.9358 0.5000
9 V 0.8107 0.4358 0.5000
10 V 0.8640 0.6933 0.0000
11 P 0.0823 0.8214 0.5000
12 P 0.4177 0.3214 0.5000
13 P 0.5823 0.6786 0.5000
14 P 0.9177 0.1786 0.5000
15 C 0.0000 0.5000 0.0000
16 C 0.5000 0.0000 0.0000

No. 3
The following is a DFT calculation (PBE) of BaGdHo after structural relaxation.

For the volume, the calculation gives 115 Å³ per cell. As for the symmetry: P3m1. The value obtained for the raw total energy is -6.6752 eV per atom. The calculated formation energy is 4.27 kcal/mol of atoms. The calculation puts the total magnetic moment at 7.59 μB/f.u. As for the density of states at the Fermi level: 1.6301 states/eV per atom.

a b c (Å): 3.7716 3.7716 9.3360
angles (deg): 90.00 90.00 120.00
Atoms (fractional coordinates):
1 Ba 0.0000 0.0000 0.0000
2 Gd 0.3333 0.6667 0.6394
3 Ho 0.6667 0.3333 0.3504

No. 4
The following is a DFT calculation (PBE) of UInPt2 after structural relaxation.

For the volume, the calculation gives 78 Å³ per cell. As for the symmetry: P4/mmm. The value obtained for the raw total energy is -7.0653 eV per atom. The calculated formation energy is -12.41 kcal/mol of atoms. The calculation puts the total magnetic moment at 1.65 μB/f.u. As for the density of states at the Fermi level: 1.1368 states/eV per atom.

a b c (Å): 3.2895 3.2895 7.2402
angles (deg): 90.00 90.00 90.00
Atoms (fractional coordinates):
1 U 0.0000 0.0000 0.0000
2 In 0.0000 0.0000 0.5000
3 Pt 0.5000 0.5000 0.2533
4 Pt 0.5000 0.5000 0.7467

No. 5
The following is a DFT calculation (PBE) of PmZn4Ga after structural relaxation.

For the volume, the calculation gives 113 Å³ per cell. As for the symmetry: F-43m. The value obtained for the raw total energy is -2.2948 eV per atom. The calculated formation energy is -3.44 kcal/mol of atoms. The calculation puts the total magnetic moment at 0.00 μB/f.u. As for the density of states at the Fermi level: 0.6358 states/eV per atom.

a b c (Å): 5.4249 5.4249 5.4249
angles (deg): 60.00 60.00 60.00
Atoms (fractional coordinates):
1 Pm 0.0000 0.0000 0.0000
2 Zn 0.1251 0.6250 0.6250
3 Zn 0.6250 0.1251 0.6250
4 Zn 0.6250 0.6250 0.1251
5 Zn 0.6250 0.6250 0.6250
6 Ga 0.2500 0.2500 0.2500

No. 6
The following is a DFT calculation (PBE) of Hg2AsS after structural relaxation.

The energy relative to the elements, uncorrected is 0.120 eV/atom. For the volume, the calculation gives 225 Å³ per cell. As for the symmetry: I-42d. The value obtained for the raw total energy is -2.2247 eV per atom. The calculation puts the total magnetic moment at 0.00 μB/f.u. As for the density of states at the Fermi level: 0.6829 states/eV per atom.

a b c (Å): 7.3663 7.3663 7.3663
angles (deg): 130.65 130.65 72.37
Atoms (fractional coordinates):
1 Hg 0.1233 0.6250 0.9983
2 Hg 0.3750 0.3733 0.4983
3 Hg 0.6267 0.1250 0.0017
4 Hg 0.8750 0.8767 0.5017
5 As 0.2500 0.7500 0.5000
6 As 0.5000 0.5000 0.0000
7 S 0.0000 0.0000 0.0000
8 S 0.7500 0.2500 0.5000

No. 7
The following is a DFT calculation (PBE) of NdSm5Ho12 after structural relaxation.

For the volume, the calculation gives 581 Å³ per cell. As for the symmetry: C2/m. The value obtained for the raw total energy is -4.5218 eV per atom. The calculated formation energy is 2.44 kcal/mol of atoms. The calculation puts the total magnetic moment at 0.00 μB/f.u. As for the density of states at the Fermi level: 1.7473 states/eV per atom.

a b c (Å): 10.3302 10.3302 5.9443
angles (deg): 90.01 90.01 113.75
Atoms (fractional coordinates):
1 Nd 0.0000 0.0000 0.0000
2 Sm 0.1672 0.8328 0.5000
3 Sm 0.3325 0.6675 0.0000
4 Sm 0.5000 0.5000 0.5000
5 Sm 0.6675 0.3325 0.0000
6 Sm 0.8328 0.1672 0.5000
7 Ho 0.0109 0.3445 0.9466
8 Ho 0.1563 0.4896 0.4467
9 Ho 0.1772 0.1772 0.5503
10 Ho 0.3245 0.3245 0.0504
11 Ho 0.3445 0.0109 0.9466
12 Ho 0.4896 0.1563 0.4467
13 Ho 0.5104 0.8437 0.5533
14 Ho 0.6555 0.9891 0.0534
15 Ho 0.6755 0.6755 0.9496
16 Ho 0.8228 0.8228 0.4497
17 Ho 0.8437 0.5104 0.5533
18 Ho 0.9891 0.6555 0.0534

No. 8
The following is a DFT calculation (PBE) of La2NiCl after structural relaxation.

The energy relative to the elements, uncorrected is -0.972 eV/atom. For the volume, the calculation gives 111 Å³ per cell. As for the symmetry: C2/m. The value obtained for the raw total energy is -5.3431 eV per atom. The calculation puts the total magnetic moment at 0.00 μB/f.u. As for the density of states at the Fermi level: 0.9093 states/eV per atom.

a b c (Å): 4.1452 4.1452 7.9277
angles (deg): 105.49 105.49 59.22
Atoms (fractional coordinates):
1 La 0.2327 0.2327 0.2045
2 La 0.7673 0.7673 0.7955
3 Ni 0.5000 0.5000 0.0000
4 Cl 0.0000 0.0000 0.5000